#P
Density functional theory data (GGA-PBE) for crystalline SrOs2Ru at its relaxed geometry.

```
SrOs2Ru
1.0
4.591 -1.437 0.000
4.591 1.437 0.000
-1.115 0.000 5.894
Sr Os Ru
1 2 1
direct
0.000 0.000 0.000
0.229 0.229 0.635
0.495 0.495 0.517
0.772 0.772 0.305
```

---

#Q
Density functional theory data (GGA-PBE) for crystalline SrOs2Ru at its relaxed geometry.

```
SrOs2Ru
1.0
0.000 3.260 3.260
3.260 0.000 3.260
3.260 3.260 0.000
Sr Os Ru
1 2 1
direct
0.000 0.000 0.000
0.500 0.500 0.500
0.750 0.750 0.750
0.250 0.250 0.250
```

---

The energy of each structure relative to the most stable one, in kJ/mol of atoms, is as follows: #P 0.0; #Q 40.9.

---

#P
Density functional theory data (GGA-PBE) for crystalline Ta2W at its relaxed geometry.

```
Ta2W
1.0
-1.369 1.369 7.121
1.369 -1.369 7.121
1.369 1.369 -7.121
Ta W
2 1
direct
0.166 0.166 0.000
0.834 0.834 0.000
0.500 0.500 0.000
```

---

#Q
Density functional theory data (GGA-PBE) for crystalline Ta2W at its relaxed geometry.

```
Ta2W
1.0
0.000 3.145 3.145
3.145 0.000 3.145
3.145 3.145 0.000
Ta W
2 1
direct
0.250 0.250 0.250
0.750 0.750 0.750
0.000 0.000 0.000
```

---

The energy of each structure relative to the most stable one, in kJ/mol of atoms, is as follows: #P 0.0; #Q 44.0.